[1]
Here is a relaxed ScTc3 crystal from Alexandria. Energies are from PBE.

Calculated values
DFT formation energy: 0.1646 eV/atom
N(E_F): 1.37 states/eV per atom
total magnetic moment: 0.000 μB/f.u.
ΔE to the lowest computed polymorph: 1.09 eV/f.u.
total energy: -73.54 eV for the cell shown

Unit cell a=5.6070 b=5.6070 c=4.6637 alpha=90.00 beta=90.00 gamma=120.00
Closest atoms and distances in Å follow each position.
Space group P6_3/mmc (No. 194)
Unique sites:
Sc 0.3333 0.6667 0.2500 [2 per cell]  12 Tc 2.80-2.86
Tc 0.1625 0.3250 0.7500 [6 per cell]  8 Tc 2.73-2.87, 4 Sc 2.80-2.86

[2]
Here is a relaxed ScTc crystal from Alexandria. Energies are from PBE.

Calculated values
DFT formation energy: -0.1640 eV/atom
N(E_F): 1.05 states/eV per atom
total magnetic moment: 0.000 μB/f.u.
total energy: -102.15 eV for the cell shown

Unit cell a=10.5955 b=3.1990 c=6.5667 alpha=90.00 beta=108.14 gamma=90.00
Closest atoms and distances in Å follow each position.
Space group Cm (No. 8)
Unique sites:
Sc 0.0000 0.0000 0.0000 [2 per cell]  6 Tc 2.87-2.97, 6 Sc 3.04-3.20
Sc 0.0062 0.0000 0.5311 [2 per cell]  6 Tc 2.75-2.95
Sc 0.3018 0.0000 0.1692 [2 per cell]  4 Tc 2.70
Tc 0.1690 0.5000 0.3640 [2 per cell]  2 Tc 2.65, 6 Sc 2.70-2.97
Tc 0.1733 0.5000 0.8390 [2 per cell]  2 Tc 2.66, 6 Sc 2.70-2.87
Tc 0.3142 0.0000 0.6699 [2 per cell]  4 Tc 2.65-2.66, 4 Sc 2.91-2.95

[3]
Here is a relaxed ScTc3 crystal from Alexandria. Energies are from PBE.

Calculated values
DFT formation energy: -0.1069 eV/atom
N(E_F): 0.66 states/eV per atom
total magnetic moment: 0.000 μB/f.u.
ΔE to the lowest computed polymorph: 0.00 eV/f.u.
total energy: -151.43 eV for the cell shown

Unit cell a=6.2792 b=6.2792 c=6.2792 alpha=90.00 beta=90.00 gamma=90.00
Closest atoms and distances in Å follow each position.
Space group Fm-3m (No. 225)
Unique sites:
Sc 0.0000 0.0000 0.0000 [4 per cell]  8 Tc 2.72
Tc 0.0000 0.0000 0.5000 [4 per cell]  8 Tc 2.72
Tc 0.2500 0.2500 0.2500 [8 per cell]  4 Tc 2.72, 4 Sc 2.72

[4]
Here is a relaxed Sc5Tc crystal from Alexandria. Energies are from PBE.

Calculated values
DFT formation energy: -0.0221 eV/atom
N(E_F): 1.02 states/eV per atom
total magnetic moment: 0.000 μB/f.u.
ΔE to the lowest computed polymorph: 0.47 eV/f.u.
total energy: -84.31 eV for the cell shown

Unit cell a=4.9220 b=3.5597 c=14.9804 alpha=90.00 beta=90.00 gamma=90.00
Closest atoms and distances in Å follow each position.
Space group Amm2 (No. 38)
Unique sites:
Sc 0.0000 0.0000 0.0001 [2 per cell]  2 Tc 2.70
Sc 0.0000 0.0000 0.2790 [2 per cell]  2 Tc 2.78, 2 Sc 3.08
Sc 0.5000 0.0000 0.1549 [2 per cell]  6 Sc 2.92-3.19, 4 Tc 3.05
Sc 0.5000 0.0000 0.5000 [2 per cell]  8 Sc 2.92-3.09, 2 Tc 3.19
Sc 0.5000 0.0000 0.8314 [2 per cell]  8 Sc 3.09-3.19
Tc 0.0000 0.0000 0.6360 [2 per cell]  4 Sc 2.70-2.78

[5]
Here is a relaxed ScTc crystal from Alexandria. Energies are from PBE.

Calculated values
DFT formation energy: -0.2178 eV/atom
N(E_F): 1.00 states/eV per atom
total magnetic moment: 0.000 μB/f.u.
total energy: -68.53 eV for the cell shown

Unit cell a=5.5856 b=9.5635 c=3.2073 alpha=90.00 beta=124.96 gamma=90.00
Closest atoms and distances in Å follow each position.
Space group C2/c (No. 15)
Unique sites:
Sc 0.0000 0.1387 0.2500 [4 per cell]  6 Tc 2.81-2.92, 4 Sc 3.10-3.13
Tc 0.0000 0.3944 0.7500 [4 per cell]  2 Tc 2.58, 4 Sc 2.81

[6]
Here is a relaxed ScTc crystal from Alexandria. Energies are from PBE.

Calculated values
DFT formation energy: -0.0540 eV/atom
N(E_F): 0.74 states/eV per atom
total magnetic moment: 0.000 μB/f.u.
total energy: -33.61 eV for the cell shown

Unit cell a=3.2525 b=4.8355 c=4.3344 alpha=90.00 beta=90.00 gamma=90.00
Closest atoms and distances in Å follow each position.
Space group Cmmm (No. 65)
Unique sites:
Sc 0.0000 0.0000 0.0000 [2 per cell]  4 Tc 2.71, 4 Sc 2.91
Tc 0.0000 0.5000 0.5000 [2 per cell]  4 Sc 2.71, 4 Tc 2.91